[1]
A geometry-optimized Co2HAu structure, computed with PBE.

The polymorph energy (0 for the lowest one) is 0.116 eV/atom.

The structure in extended XYZ format:
```
16
Lattice="5.428 0.000 0.000 0.000 5.428 0.000 0.000 0.000 6.062" Properties=species:S:1:pos:R:3 pbc="T T T"
Co 0.545 1.357 0.758
Co 1.357 3.259 2.273
Co 1.357 4.882 5.305
Co 2.169 1.357 3.789
Co 3.259 4.071 3.789
Co 4.071 0.545 5.305
Co 4.071 2.169 2.273
Co 4.882 4.071 0.758
H 0.000 0.000 0.000
H 0.000 2.714 1.516
H 2.714 0.000 4.547
H 2.714 2.714 3.031
Au 0.000 0.000 3.031
Au 0.000 2.714 4.547
Au 2.714 0.000 1.516
Au 2.714 2.714 0.000
```

---

[2]
A geometry-optimized HgPtW2 structure, computed with PBE.

Its formation enthalpy at 0 K is 0.48 eV/atom.

The structure in extended XYZ format:
```
8
Lattice="3.099 0.000 0.000 0.000 4.814 0.000 0.000 0.000 9.445" Properties=species:S:1:pos:R:3 pbc="T T T"
Hg 0.000 0.000 0.000
Hg 1.549 2.407 4.723
Pt 0.000 2.407 7.260
Pt 1.549 0.000 2.537
W 0.000 0.000 4.781
W 0.000 2.407 2.064
W 1.549 0.000 6.787
W 1.549 2.407 0.059
```

---

[3]
A geometry-optimized Nb2PtRh2 structure, computed with PBE.

The polymorph energy (0 for the lowest one) is 0.067 eV/atom. Its formation enthalpy at 0 K is -0.35 eV/atom.

The structure in extended XYZ format:
```
10
Lattice="2.810 0.000 0.000 0.000 4.519 0.000 0.000 0.000 12.771" Properties=species:S:1:pos:R:3 pbc="T T T"
Nb 0.702 1.130 0.744
Nb 0.702 3.390 4.496
Nb 2.107 1.130 8.274
Nb 2.107 3.390 12.027
Pt 0.702 3.390 9.467
Pt 2.107 1.130 3.304
Rh 0.702 1.130 5.919
Rh 0.702 3.390 1.887
Rh 2.107 1.130 10.883
Rh 2.107 3.390 6.852
```

---

[4]
A geometry-optimized La8Er3Sc structure, computed with PBE.

Its formation enthalpy at 0 K is 0.51 eV/atom.

The structure in extended XYZ format:
```
12
Lattice="-4.372 4.372 5.895 4.372 -4.372 5.895 4.372 4.372 -5.895" Properties=species:S:1:pos:R:3 pbc="T T T"
La 3.275 3.275 -2.997
La 2.126 2.126 -0.161
La 2.246 -2.246 6.056
La 1.098 1.098 2.898
La 1.098 -1.098 8.892
La 2.246 2.246 5.734
La -2.246 2.246 6.056
La -1.098 1.098 8.892
Er 4.372 0.000 2.947
Er 0.000 0.000 5.895
Er 0.000 4.372 2.947
Sc 0.000 0.000 0.000
```

---

[5]
A geometry-optimized ZnReIr structure, computed with PBE.

The polymorph energy (0 for the lowest one) is 0.000 eV/atom. Its formation enthalpy at 0 K is -0.16 eV/atom.

The structure in extended XYZ format:
```
6
Lattice="2.765 0.000 0.000 0.000 2.765 0.000 0.000 0.000 11.582" Properties=species:S:1:pos:R:3 pbc="T T T"
Zn 0.691 0.691 1.026
Zn 2.074 2.074 10.555
Re 0.691 0.691 4.730
Re 2.074 2.074 6.851
Ir 0.691 0.691 8.645
Ir 2.074 2.074 2.936
```

---

[6]
A geometry-optimized Ca4YBe structure, computed with PBE.

Its formation enthalpy at 0 K is 0.72 eV/atom.

The structure in extended XYZ format:
```
6
Lattice="0.000 4.758 4.758 4.758 0.000 4.758 4.758 4.758 0.000" Properties=species:S:1:pos:R:3 pbc="T T T"
Ca 1.189 1.189 1.189
Ca 3.569 3.569 1.189
Ca 3.569 1.189 3.569
Ca 1.189 3.569 3.569
Y 7.137 7.137 7.137
Be 4.758 4.758 4.758
```

---

[7]
A geometry-optimized TbInPdPt structure, computed with PBE.

Its formation enthalpy at 0 K is -0.87 eV/atom.

The structure in extended XYZ format:
```
16
Lattice="6.808 0.000 0.000 0.000 6.808 0.000 0.000 0.000 6.808" Properties=species:S:1:pos:R:3 pbc="T T T"
Tb 0.000 0.000 0.000
Tb 0.000 3.404 3.404
Tb 3.404 0.000 3.404
Tb 3.404 3.404 0.000
In 0.000 0.000 3.404
In 0.000 3.404 0.000
In 3.404 0.000 0.000
In 3.404 3.404 3.404
Pd 1.702 1.702 5.106
Pd 1.702 5.106 1.702
Pd 5.106 1.702 1.702
Pd 5.106 5.106 5.106
Pt 1.702 1.702 1.702
Pt 1.702 5.106 5.106
Pt 5.106 1.702 5.106
Pt 5.106 5.106 1.702
```

---

[8]
A geometry-optimized ZrCdP2 structure, computed with PBE.

Its formation enthalpy at 0 K is -0.49 eV/atom.

The structure in extended XYZ format:
```
4
Lattice="3.513 0.000 0.000 0.000 3.528 0.000 0.000 0.000 6.124" Properties=species:S:1:pos:R:3 pbc="T T T"
Zr 0.000 0.000 0.000
Cd 0.000 0.000 3.062
P 1.757 1.764 1.192
P 1.757 1.764 4.932
```

---

[9]
A geometry-optimized MgGaSi structure, computed with PBE.

The uncorrected formation energy comes out at 0.15 eV per formula unit.

The structure in extended XYZ format:
```
3
Lattice="4.680 0.000 0.000 -2.340 4.053 0.000 0.000 0.000 2.755" Properties=species:S:1:pos:R:3 pbc="T T T"
Mg 0.000 0.000 0.000
Ga 0.000 2.702 1.377
Si 2.340 1.351 1.377
```

---

[10]
A geometry-optimized AgP3 structure, computed with PBE.

The polymorph energy (0 for the lowest one) is 0.528 eV/atom. Its formation enthalpy at 0 K is 0.71 eV/atom.

The structure in extended XYZ format:
```
16
Lattice="5.602 0.000 0.000 -2.801 4.851 0.000 0.000 0.000 10.118" Properties=species:S:1:pos:R:3 pbc="T T T"
Ag 0.000 0.000 0.000
Ag 0.000 0.000 5.059
Ag 0.000 3.234 2.529
Ag 2.801 1.617 7.588
P -1.400 2.426 0.000
P -1.400 2.426 5.059
P 0.000 1.318 7.588
P -1.659 4.192 7.588
P 1.142 0.659 2.529
P 2.801 0.000 0.000
P 2.801 0.000 5.059
P 1.400 2.426 0.000
P 1.400 2.426 5.059
P 1.659 4.192 7.588
P 4.460 0.659 2.529
P 2.801 3.533 2.529
```

---

[11]
A geometry-optimized Sm2MgSi2Ir5 structure, computed with PBE.

The uncorrected formation energy comes out at -7.47 eV per formula unit.

The structure in extended XYZ format:
```
20
Lattice="9.944 0.000 0.000 0.000 9.944 0.000 0.000 0.000 3.492" Properties=species:S:1:pos:R:3 pbc="T T T"
Sm 1.747 3.225 0.000
Sm 3.225 8.197 0.000
Sm 6.719 1.747 0.000
Sm 8.197 6.719 0.000
Mg 0.000 0.000 0.000
Mg 4.972 4.972 0.000
Si 1.231 6.203 0.000
Si 3.741 1.231 0.000
Si 6.203 8.713 0.000
Si 8.713 3.741 0.000
Ir 0.000 4.972 1.746
Ir 0.668 7.792 1.746
Ir 2.152 0.668 1.746
Ir 2.820 5.640 1.746
Ir 4.304 2.820 1.746
Ir 4.972 0.000 1.746
Ir 5.640 7.124 1.746
Ir 7.124 4.304 1.746
Ir 7.792 9.276 1.746
Ir 9.276 2.152 1.746
```

---

[12]
A geometry-optimized CsCuPbI4 structure, computed with PBE.

The uncorrected formation energy comes out at -5.21 eV per formula unit.

The structure in extended XYZ format:
```
14
Lattice="7.247 0.000 0.000 0.000 8.309 0.000 -3.366 0.000 9.827" Properties=species:S:1:pos:R:3 pbc="T T T"
Cs -0.090 2.077 4.361
Cs 3.971 6.232 5.466
Cu -1.768 2.077 8.075
Cu 5.649 6.232 1.752
Pb 2.248 6.232 0.486
Pb 1.633 2.077 9.341
I 0.668 2.077 0.701
I 0.538 6.232 3.360
I -0.336 4.239 7.707
I -0.336 8.225 7.707
I 4.217 0.084 2.119
I 4.217 4.070 2.119
I 3.344 2.077 6.466
I 3.213 6.232 9.125
```

---

Number 1: raw total energy -4.95 eV/atom, magnetization 13.15 Bohr magnetons per cell. Number 2: raw total energy -7.58 eV/atom, magnetization 0.00 Bohr magnetons per cell. Number 3: raw total energy -8.52 eV/atom, magnetization 0.00 Bohr magnetons per cell. Number 4: raw total energy -4.44 eV/atom, magnetization 0.00 Bohr magnetons per cell. Number 5: raw total energy -7.69 eV/atom, magnetization 0.00 Bohr magnetons per cell. Number 6: raw total energy -2.31 eV/atom, magnetization 1.41 Bohr magnetons per cell. Number 7: raw total energy -5.53 eV/atom, magnetization 0.00 Bohr magnetons per cell. Number 8: raw total energy -5.56 eV/atom, magnetization 0.00 Bohr magnetons per cell. Number 9: raw total energy -3.30 eV/atom, magnetization 0.00 Bohr magnetons per cell. Number 10: raw total energy -4.06 eV/atom, magnetization 0.00 Bohr magnetons per cell. Number 11: raw total energy -7.37 eV/atom, magnetization 0.00 Bohr magnetons per cell. Number 12: raw total energy -2.87 eV/atom, magnetization 0.00 Bohr magnetons per cell.